Record 1
ScBeAu after structural relaxation. Source: Alexandria via LeMat-Bulk, functional PBE.

Cell: 4.158 4.158 3.340 Å, 90.00 90.00 120.00°
Fractional positions:
Sc (0.000, 0.000, 0.000)
Be (0.333, 0.667, 0.500)
Au (0.667, 0.333, 0.500)

For the energy above the most stable polymorph in this dataset, the calculation gives 0.15 eV per formula unit. As for the energy: -14.77 eV/cell. Its formation enthalpy at 0 K is -0.48 eV per atom.


Record 2
ScBeAu2 after structural relaxation. Source: Alexandria via LeMat-Bulk, functional PBE.

Cell: 4.552 4.552 4.552 Å, 60.00 60.00 60.00°
Fractional positions:
Sc (0.000, 0.000, 0.000)
Be (0.750, 0.750, 0.750)
Au (0.250, 0.250, 0.250)
Au (0.500, 0.500, 0.500)

For the energy above the most stable polymorph in this dataset, the calculation gives 0.59 eV per formula unit. As for the energy: -17.76 eV/cell. Its formation enthalpy at 0 K is -0.29 eV per atom.